Record 1
VASP calculation (GGA-PBE) on a relaxed structure of Ca2PrPaP4.

Output
- space group = P2/m (10)

Lattice parameters (Å, degrees): 7.0878 4.1535 7.1675 90.00 109.52 90.00
Last column: nearest neighbours and their distance in Å.
Positions (direct):
Ca 0.0000 0.0000 0.0000  6 P 2.91-2.93
Ca 0.0000 0.5000 0.5000  6 P 3.04-3.07
Pr 0.5000 0.0000 0.5000  6 P 2.92-2.93
Pa 0.5000 0.5000 0.0000  6 P 2.75-2.81
P 0.2639 0.5000 0.2367  1 Pa 2.75, 2 Pr 2.93, 3 Ca 2.93-3.07
P 0.2695 0.0000 0.7703  2 Pa 2.81, 3 Ca 2.91-3.04, 1 Pr 2.92
P 0.7305 0.0000 0.2297  2 Pa 2.81, 3 Ca 2.91-3.04, 1 Pr 2.92
P 0.7361 0.5000 0.7633  1 Pa 2.75, 2 Pr 2.93, 3 Ca 2.93-3.07

---

Record 2
VASP calculation (GGA-PBE) on a relaxed structure of ScTe2IrC.

Output
- energy relative to the elements, uncorrected (eV per atom) = 1.92
- space group = P4/mmm (123)

Lattice parameters (Å, degrees): 5.4760 5.4760 4.8096 90.00 90.00 90.00
Last column: nearest neighbours and their distance in Å.
Positions (direct):
Sc 0.0000 0.0000 0.0000  2 Ir 2.40
Te 0.0000 0.5000 0.0000  2 Sc 2.74
Te 0.5000 0.0000 0.0000  2 Sc 2.74
Ir 0.0000 0.0000 0.5000  2 Sc 2.40
C 0.5000 0.5000 0.5000  8 Te 3.64, 4 Ir 3.87

---

Record 3
VASP calculation (GGA-PBE) on a relaxed structure of SmDy2Ho5.

Output
- space group = Pbam (55)

Lattice parameters (Å, degrees): 7.0847 14.1732 4.9985 90.00 90.00 90.00
Last column: nearest neighbours and their distance in Å.
Positions (direct):
Sm 0.0000 0.0000 0.0000  8 Ho 3.54-3.55, 4 Dy 3.54
Sm 0.5000 0.5000 0.0000  8 Ho 3.54-3.55, 4 Dy 3.54
Dy 0.2504 0.1256 0.5000  10 Ho 3.53-3.56, 2 Sm 3.54
Dy 0.2496 0.6256 0.5000  10 Ho 3.53-3.56, 2 Sm 3.54
Dy 0.7504 0.3744 0.5000  10 Ho 3.53-3.56, 2 Sm 3.54
Dy 0.7496 0.8744 0.5000  10 Ho 3.53-3.56, 2 Sm 3.54
Ho 0.0000 0.2507 0.0000  4 Dy 3.53-3.54, 7 Ho 3.53-3.54, 1 Sm 3.55
Ho 0.0000 0.5000 0.0000  6 Ho 3.53-3.54, 4 Dy 3.54, 2 Sm 3.54
Ho 0.0000 0.7493 0.0000  4 Dy 3.53-3.54, 7 Ho 3.53-3.54, 1 Sm 3.55
Ho 0.2496 0.3744 0.5000  4 Dy 3.53-3.56, 6 Ho 3.53-3.54, 2 Sm 3.54
Ho 0.2504 0.8744 0.5000  4 Dy 3.53-3.56, 6 Ho 3.53-3.54, 2 Sm 3.54
Ho 0.5000 0.0000 0.0000  6 Ho 3.53-3.54, 4 Dy 3.54, 2 Sm 3.54
Ho 0.5000 0.2493 0.0000  4 Dy 3.53-3.54, 7 Ho 3.53-3.54, 1 Sm 3.55
Ho 0.5000 0.7507 0.0000  4 Dy 3.53-3.54, 7 Ho 3.53-3.54, 1 Sm 3.55
Ho 0.7496 0.1256 0.5000  4 Dy 3.53-3.56, 6 Ho 3.53-3.54, 2 Sm 3.54
Ho 0.7504 0.6256 0.5000  4 Dy 3.53-3.56, 6 Ho 3.53-3.54, 2 Sm 3.54

---

Record 4
VASP calculation (GGA-PBE) on a relaxed structure of Sm2DyErSe5.

Output
- energy relative to the elements, uncorrected (eV per atom) = -1.23
- space group = P4/mmm (123)

Lattice parameters (Å, degrees): 5.1083 5.1083 10.7125 90.00 90.00 90.00
Last column: nearest neighbours and their distance in Å.
Positions (direct):
Sm 0.0000 0.0000 0.1717  5 Se 3.15-3.52
Sm 0.0000 0.0000 0.8283  5 Se 3.15-3.52
Dy 0.5000 0.5000 0.5000  2 Se 2.64
Er 0.5000 0.5000 0.0000  6 Se 2.55-2.71
Se 0.0000 0.0000 0.5000  2 Sm 3.52, 4 Dy 3.61
Se 0.0000 0.5000 0.0000  2 Er 2.55
Se 0.5000 0.0000 0.0000  2 Er 2.55
Se 0.5000 0.5000 0.2533  1 Dy 2.64, 1 Er 2.71
Se 0.5000 0.5000 0.7467  1 Dy 2.64, 1 Er 2.71

---

Record 5
VASP calculation (GGA-PBE) on a relaxed structure of CrCu2P.

Output
- space group = P4/mmm (123)

Lattice parameters (Å, degrees): 3.5014 3.5014 4.0481 90.00 90.00 90.00
Last column: nearest neighbours and their distance in Å.
Positions (direct):
Cr 0.0000 0.0000 0.0000  4 P 2.48, 8 Cu 2.68
Cu 0.0000 0.5000 0.5000  4 Cu 2.48, 4 Cr 2.68, 4 P 2.68
Cu 0.5000 0.0000 0.5000  4 Cu 2.48, 4 Cr 2.68, 4 P 2.68
P 0.5000 0.5000 0.0000  4 Cr 2.48, 8 Cu 2.68

---

Calculated energy, -50.35; -21.12; -73.37; -47.06; -23.12 eV/cell (same order as the records).